AgPOs2 | PBE-GGA | optimized geometry

Structure (POSCAR):
```
AgPOs2
1.0
2.778 -0.007 0.000
-1.364 2.420 0.000
0.000 0.000 9.281
Ag P Os
1 1 2
direct
0.500 0.500 0.749
0.000 0.000 0.471
0.500 0.500 0.262
0.000 0.000 0.019
```

Values from the calculation:
- DFT total energy: -7.084 eV per atom
- Total moment: 0.0004 μB/atom
- SG: Cmm2